! BaZrIr2, relaxed, DFT GGA-PBE; values from VASP
&SYSTEM
  ibrav = 0, nat = 4, ntyp = 3
/
ATOMIC_SPECIES
Ba 137.33 Ba.upf
Zr 91.22 Zr.upf
Ir 192.22 Ir.upf
CELL_PARAMETERS angstrom
4.1648 0.0000 0.0000
0.0000 1.8981 6.4931
0.0000 -1.8981 6.4931
ATOMIC_POSITIONS crystal
Ba 0.0000 0.0000 0.0000
Zr 0.5000 0.2696 0.2696
Ir 0.0000 0.7464 0.7464
Ir 0.5000 0.6244 0.6244
! ΔE_f   -0.52 eV/f.u.
! Theoretical density   9.92 g/cm3
! Final energy   -7.177 eV/atom
! Density of states at the Fermi level   3.4 states/eV per cell
! Energy above the lowest structure with this stoichiometry   23.1 kJ per mole of atoms